Record 1
Computed, not measured: a relaxed Tb2Os3 crystal at the GGA-PBE level of DFT.

## Properties
As for the density of states at the Fermi level: 0.879 states/eV per atom. The calculation puts the formation energy at -0.15 eV per atom. Its magnetic moment is 0.000 μB per formula unit. The calculation puts the calculated density at 14.2 Mg/m³. Its space group is Cmce (64).

a = 5.697 Å, b = 5.697 Å, c = 7.810 Å
α = 90.00°, β = 90.00°, γ = 55.00°
Fractional positions:
Tb (0.843, 0.843, 0.403)
Os (0.346, 0.846, 0.250)
Tb (0.157, 0.157, 0.597)
Tb (0.657, 0.657, 0.903)
Os (0.654, 0.154, 0.750)
Os (0.000, 0.000, 0.000)
Os (0.154, 0.654, 0.750)
Tb (0.343, 0.343, 0.097)
Os (0.500, 0.500, 0.500)
Os (0.846, 0.346, 0.250)

=====

Record 2
Computed, not measured: a relaxed TbHo4Ag5 crystal at the GGA-PBE level of DFT.

## Properties
As for the density of states at the Fermi level: 0.436 states/eV per atom. The calculation puts the formation energy at -0.33 eV per atom. Its magnetic moment is 0.000 μB per formula unit. The calculation puts the calculated density at 9.5 Mg/m³. Its space group is P4/mmm (123).

a = 3.595 Å, b = 3.595 Å, c = 18.429 Å
α = 90.00°, β = 90.00°, γ = 90.00°
Fractional positions:
Ag (0.500, 0.500, 0.102)
Ag (0.500, 0.500, 0.699)
Ho (0.000, 0.000, 0.799)
Ho (0.000, 0.000, 0.600)
Ag (0.500, 0.500, 0.301)
Ho (0.000, 0.000, 0.201)
Ag (0.500, 0.500, 0.898)
Ho (0.000, 0.000, 0.400)
Ag (0.500, 0.500, 0.500)
Tb (0.000, 0.000, 0.000)

=====

Record 3
Computed, not measured: a relaxed Sr3LiDy3S8 crystal at the GGA-PBE level of DFT.

## Properties
Its formation energy without anion corrections is -1.967 eV per atom. Its magnetic moment is 0.000 μB per formula unit. The calculation puts the calculated density at 4.4 Mg/m³. Its space group is R-3m (166).

a = 8.022 Å, b = 8.022 Å, c = 8.223 Å
α = 119.19°, β = 90.00°, γ = 120.00°
Fractional positions:
S (0.241, 0.483, 0.720)
S (0.242, 0.979, 0.721)
Sr (0.000, 0.500, 0.000)
S (0.758, 0.021, 0.279)
S (0.257, 0.514, 0.271)
Sr (0.500, 0.500, 0.000)
Sr (0.000, 0.000, 0.000)
Dy (0.000, 0.500, 0.500)
Dy (0.500, 0.500, 0.500)
Dy (0.500, 0.000, 0.500)
S (0.743, 0.486, 0.729)
Li (0.000, 0.000, 0.500)
S (0.759, 0.517, 0.280)
S (0.263, 0.021, 0.279)
S (0.737, 0.979, 0.721)